{"formula": "FePtI2O", "functional": "GGA+U", "state": "relaxed", "lattice_angstrom": [[5.5202, 0.0000, 0.0000], [0.0000, 5.5202, 0.0000], [0.0000, 0.0000, 3.5785]], "species": ["Fe", "Pt", "I", "I", "O"], "fractional_positions": [[0.0000, 0.0000, 0.0000], [0.5000, 0.5000, 0.5000], [0.0000, 0.5000, 0.0000], [0.5000, 0.0000, 0.0000], [0.0000, 0.0000, 0.5000]], "vol_a3_per_cell": 109.0, "space_group": "P4/mmm (123)", "n_ef_per_ev_atom": 0.86, "final_energy_ev_per_atom": -3.75}